Compound: Rb4ThBi3O12
Source: the Alexandria database
Functional: GGA-PBE
Structure: optimized geometry

a = 7.5809 Å, b = 7.5809 Å, c = 7.5809 Å
α = 109.47°, β = 109.47°, γ = 109.47°
Fractional positions:
Rb 0.0000 0.0000 0.5000
Rb 0.0000 0.5000 0.0000
Rb 0.5000 0.0000 0.0000
Rb 0.5000 0.5000 0.5000
Th 0.0000 0.0000 0.0000
Bi 0.0000 0.5000 0.5000
Bi 0.5000 0.0000 0.5000
Bi 0.5000 0.5000 0.0000
O 0.0000 0.2590 0.2590
O 0.0000 0.7410 0.7410
O 0.2500 0.5000 0.7500
O 0.2500 0.7500 0.5000
O 0.2590 0.0000 0.2590
O 0.2590 0.2590 0.0000
O 0.5000 0.2500 0.7500
O 0.5000 0.7500 0.2500
O 0.7410 0.0000 0.7410
O 0.7410 0.7410 0.0000
O 0.7500 0.2500 0.5000
O 0.7500 0.5000 0.2500

Results
- E (eV/cell) = -111.55
- energy relative to the elements, uncorrected (eV per atom) = -1.456
- crystal system = cubic